PuGa4Pb PBE optimized geometry; mass density = 9.44 g/cm³; formation energy = -0.58 eV/f.u.; magnetic moment = 6.3 μB per formula unit; D(E_F) = 14.1 states/eV/f.u.
1.0
5.663 0.000 0.000
2.831 4.904 0.000
2.831 1.635 4.624
Pb Ga Pu
1 4 1
Direct
0.000 0.000 0.000
0.126 0.625 0.625
0.625 0.625 0.625
0.625 0.625 0.126
0.625 0.126 0.625
0.250 0.250 0.250